LaNdZnGe: optimized geometry, PBE. Values from VASP.

Calculated values
Offset from the most stable computed form ... 0.0 meV per atom
Uncorrected energy ... -4.480 eV/atom
Formation energy from the elements ... -0.5838 eV per atom
D(E_F) ... 3.760 states/eV per cell
Total magnetic moment ... 0.1 μB per formula unit

Cell and atoms, written as Quantum ESPRESSO input:
```
&SYSTEM
  ibrav = 0, nat = 4, ntyp = 4
/
ATOMIC_SPECIES
La 138.91 La.upf
Nd 144.24 Nd.upf
Zn 65.41 Zn.upf
Ge 72.64 Ge.upf
CELL_PARAMETERS angstrom
4.217 0.000 0.000
0.000 2.194 5.723
0.000 -2.194 5.723
ATOMIC_POSITIONS angstrom
La 0.000 0.000 0.000
Nd 2.108 0.000 3.271
Zn 2.108 0.000 6.627
Ge 0.000 0.000 8.227
```